#1
## FeCoSe2 (PBE)

Data for a geometry-optimized FeCoSe2 structure.

Geometry as POSCAR:
```
FeCoSe2
1.0
0.000 3.055 3.055
3.055 0.000 3.055
3.055 3.055 0.000
Co Fe Se
1 1 2
Direct
0.500 0.500 0.500
0.000 0.000 0.000
0.250 0.250 0.250
0.750 0.750 0.750
```

Values from the calculation:
Total moment ... 2.583 μB per formula unit
V ... 57.0 Å³/cell

#2
## FeCoSe2 (PBE)

Data for a geometry-optimized FeCoSe2 structure.

Geometry as POSCAR:
```
FeCoSe2
1.0
7.709 0.067 -0.021
6.332 4.397 0.021
-7.010 -2.264 2.272
Co Fe Se
1 1 2
Direct
0.559 0.559 0.000
0.181 0.681 0.500
0.004 0.004 0.000
0.755 0.255 0.500
```

Values from the calculation:
Total moment ... 3.718 μB per formula unit
V ... 76.0 Å³/cell

#3
## FeCoSe2 (PBE)

Data for a geometry-optimized FeCoSe2 structure.

Geometry as POSCAR:
```
FeCoSe2
1.0
-0.892 -1.732 5.907
-1.291 -5.447 2.712
3.496 3.133 -4.080
Co Fe Se
1 1 2
Direct
0.500 0.500 0.000
0.750 0.250 0.500
0.000 0.000 0.000
0.250 0.750 0.500
```

Values from the calculation:
Total moment ... 5.206 μB per formula unit
V ... 69.1 Å³/cell

Question: which arrangement is favored energetically? Ranking from most to least stable: #2, #1, #3.